No. 1
First-principles (meta-GGA SCAN) data for a crystal of RbP2WO8 relaxed with PBEsol, as listed in Alexandria.

Cell and atoms, written as CIF:
```
data_RbP2WO8
_cell_length_a 5.1159
_cell_length_b 11.7735
_cell_length_c 12.0001
_cell_angle_alpha 90.00
_cell_angle_beta 90.00
_cell_angle_gamma 90.46
_space_group_name_H-M_alt 'P 1'
_space_group_IT_number 1
loop_
_space_group_symop_operation_xyz
'x,y,z'
loop_
_atom_site_label
_atom_site_type_symbol
_atom_site_fract_x
_atom_site_fract_y
_atom_site_fract_z
O1 O 0.2203 0.7978 0.8196
O2 O 0.4283 0.6729 0.5186
O3 O 0.7663 0.4055 0.0995
O4 O 0.2663 0.9055 0.4005
P1 P 0.7345 0.3371 0.2031
P2 P 0.2591 0.8727 0.9307
O5 O 0.2965 0.5081 0.3911
O6 O 0.9566 0.6437 0.4674
O7 O 0.0717 0.8271 0.0186
O8 O 0.7337 0.0945 0.5995
O9 O 0.5475 0.6571 0.7510
O10 O 0.4525 0.3429 0.2490
O11 O 0.5434 0.8563 0.9674
W1 W 0.2562 0.1717 0.8901
O12 O 0.4309 0.8646 0.2039
O13 O 0.0691 0.6354 0.7039
W2 W 0.2438 0.3283 0.3901
P3 P 0.2655 0.6629 0.7969
P4 P 0.2409 0.6273 0.4307
O14 O 0.2056 0.1827 0.3890
P5 P 0.7655 0.1629 0.7031
Rb1 Rb 0.7405 0.0410 0.3751
O15 O 0.2035 0.9919 0.8911
O16 O 0.5691 0.1354 0.7961
O17 O 0.2337 0.5945 0.9005
O18 O 0.7965 0.0081 0.1089
O19 O 0.4566 0.1437 0.0326
O20 O 0.7797 0.2022 0.1804
O21 O 0.9309 0.3646 0.2961
O22 O 0.5717 0.3271 0.4814
O23 O 0.2944 0.3173 0.8890
P6 P 0.2345 0.8371 0.2969
P7 P 0.7409 0.1273 0.0693
P8 P 0.7591 0.3727 0.5693
O24 O 0.9283 0.1729 0.9814
O25 O 0.0434 0.3563 0.5326
Rb2 Rb 0.2595 0.9590 0.6249
W3 W 0.7562 0.6717 0.6099
W4 W 0.7438 0.8283 0.1099
O26 O 0.2797 0.7022 0.3196
O27 O 0.7203 0.2978 0.6804
O28 O 0.7944 0.8173 0.6110
O29 O 0.7035 0.4919 0.6089
Rb3 Rb 0.7595 0.4590 0.8751
O30 O 0.0475 0.1571 0.7490
O31 O 0.9525 0.8429 0.2510
O32 O 0.7056 0.6827 0.1110
Rb4 Rb 0.2405 0.5410 0.1249
```

Computed properties:
Space-group type ... No. 14
Crystal system ... monoclinic
Formation energy from raw total energies ... -2.383 eV per atom

***

No. 2
First-principles (meta-GGA SCAN) data for a crystal of RbYP4O12 relaxed with PBEsol, as listed in Alexandria.

Cell and atoms, written as CIF:
```
data_RbYP4O12
_cell_length_a 8.8807
_cell_length_b 10.2938
_cell_length_c 10.9605
_cell_angle_alpha 106.41
_cell_angle_beta 90.00
_cell_angle_gamma 90.00
_space_group_name_H-M_alt 'P 1'
_space_group_IT_number 1
loop_
_space_group_symop_operation_xyz
'x,y,z'
loop_
_atom_site_label
_atom_site_type_symbol
_atom_site_fract_x
_atom_site_fract_y
_atom_site_fract_z
P1 P 0.5922 0.1479 0.2578
O1 O 0.2092 0.4754 0.2548
O2 O 0.5272 0.5372 0.6678
P2 P 0.0922 0.3521 0.2422
P3 P 0.9078 0.6479 0.7578
O3 O 0.6776 0.2670 0.2419
P4 P 0.4078 0.8521 0.7422
P5 P 0.8898 0.3246 0.0235
O4 O 0.7092 0.0246 0.2452
O5 O 0.4135 0.3552 0.7836
O6 O 0.9728 0.0372 0.1678
O7 O 0.0486 0.3279 0.0960
O8 O 0.2908 0.9754 0.7548
O9 O 0.8426 0.8118 0.1573
O10 O 0.2874 0.0659 0.4022
O11 O 0.3224 0.7330 0.7581
O12 O 0.4728 0.4628 0.3322
O13 O 0.4514 0.8279 0.5960
O14 O 0.7908 0.5246 0.7452
O15 O 0.0938 0.3314 0.6961
O16 O 0.6675 0.6826 0.4811
O17 O 0.7420 0.4366 0.5060
P6 P 0.1707 0.0406 0.8663
P7 P 0.3293 0.5406 0.3663
P8 P 0.9753 0.7464 0.2220
O18 O 0.5865 0.6448 0.2164
O19 O 0.5486 0.1721 0.4040
O20 O 0.9514 0.6721 0.9040
Y1 Y 0.2272 0.9986 0.1839
Rb1 Rb 0.9357 0.1957 0.4578
O21 O 0.0272 0.9628 0.8322
O22 O 0.5422 0.9002 0.8252
O23 O 0.2420 0.0634 0.9940
O24 O 0.1675 0.8174 0.0189
O25 O 0.3325 0.3174 0.5189
Rb2 Rb 0.4357 0.3043 0.0422
O26 O 0.4578 0.0998 0.1748
O27 O 0.2126 0.5659 0.9022
O28 O 0.0422 0.5998 0.6748
O29 O 0.9578 0.4002 0.3252
O30 O 0.1776 0.2330 0.2581
P9 P 0.6102 0.8246 0.5235
O31 O 0.7126 0.9341 0.5978
O32 O 0.8224 0.7670 0.7419
O33 O 0.0865 0.8552 0.2836
Rb3 Rb 0.5643 0.6957 0.9578
P10 P 0.6707 0.4594 0.6337
O34 O 0.2580 0.5634 0.4940
O35 O 0.9517 0.3631 0.8997
O36 O 0.5938 0.1686 0.8039
Y2 Y 0.7272 0.5014 0.3161
P11 P 0.3898 0.1754 0.4765
O37 O 0.7874 0.4341 0.0978
O38 O 0.1574 0.1882 0.8427
O39 O 0.4517 0.1369 0.6003
O40 O 0.4062 0.8314 0.1961
O41 O 0.8325 0.1826 0.9811
O42 O 0.3426 0.6882 0.3427
Y3 Y 0.7728 0.0014 0.8161
O43 O 0.9062 0.6686 0.3039
O44 O 0.7580 0.9366 0.0060
P12 P 0.4753 0.7536 0.2780
O45 O 0.0483 0.6369 0.1003
O46 O 0.5483 0.8631 0.3997
O47 O 0.6574 0.3118 0.6573
P13 P 0.8293 0.9594 0.1337
P14 P 0.5247 0.2464 0.7220
P15 P 0.0247 0.2536 0.7780
P16 P 0.1102 0.6754 0.9765
Y4 Y 0.2728 0.4986 0.6839
Rb4 Rb 0.0643 0.8043 0.5422
O48 O 0.9135 0.1448 0.7164
```

Computed properties:
Space-group type ... No. 14
Crystal system ... monoclinic
Formation energy from raw total energies ... -2.743 eV per atom

***

No. 3
First-principles (meta-GGA SCAN) data for a crystal of Rb3YP2O8 relaxed with PBEsol, as listed in Alexandria.

Cell and atoms, written as CIF:
```
data_Rb3YP2O8
_cell_length_a 5.6953
_cell_length_b 5.6953
_cell_length_c 7.9870
_cell_angle_alpha 90.00
_cell_angle_beta 90.00
_cell_angle_gamma 120.00
_space_group_name_H-M_alt 'P 1'
_space_group_IT_number 1
loop_
_space_group_symop_operation_xyz
'x,y,z'
loop_
_atom_site_label
_atom_site_type_symbol
_atom_site_fract_x
_atom_site_fract_y
_atom_site_fract_z
Rb1 Rb 0.6667 0.3333 0.2560
Rb2 Rb 0.3333 0.6667 0.7440
O1 O 0.3333 0.6667 0.0806
P1 P 0.6667 0.3333 0.7291
O2 O 0.1849 0.8151 0.3395
O3 O 0.8151 0.1849 0.6605
O4 O 0.8151 0.6301 0.6605
O5 O 0.6301 0.8151 0.3395
O6 O 0.3699 0.1849 0.6605
O7 O 0.6667 0.3333 0.9194
O8 O 0.1849 0.3699 0.3395
Y1 Y 0.0000 0.0000 0.5000
P2 P 0.3333 0.6667 0.2709
Rb3 Rb 0.0000 0.0000 0.0000
```

Computed properties:
Space-group type ... No. 164
Crystal system ... trigonal
Formation energy from raw total energies ... -2.856 eV per atom

***

No. 4
First-principles (meta-GGA SCAN) data for a crystal of Rb2Y2P3O12 relaxed with PBEsol, as listed in Alexandria.

Cell and atoms, written as CIF:
```
data_Rb2Y2P3O12
_cell_length_a 10.6607
_cell_length_b 10.6607
_cell_length_c 10.6607
_cell_angle_alpha 90.00
_cell_angle_beta 90.00
_cell_angle_gamma 90.00
_space_group_name_H-M_alt 'P 1'
_space_group_IT_number 1
loop_
_space_group_symop_operation_xyz
'x,y,z'
loop_
_atom_site_label
_atom_site_type_symbol
_atom_site_fract_x
_atom_site_fract_y
_atom_site_fract_z
O1 O 0.0048 0.0625 0.7251
P1 P 0.9831 0.7162 0.1254
O2 O 0.7366 0.9018 0.3494
O3 O 0.1997 0.7243 0.4532
O4 O 0.3494 0.7366 0.9018
O5 O 0.6721 0.5211 0.4208
Rb1 Rb 0.9510 0.5490 0.4510
P2 P 0.1254 0.9831 0.7162
O6 O 0.0625 0.7251 0.0048
O7 O 0.6997 0.7757 0.5468
O8 O 0.0982 0.8494 0.7634
O9 O 0.5625 0.7749 0.9952
Y1 Y 0.8983 0.3983 0.1017
O10 O 0.4952 0.9375 0.2251
O11 O 0.4532 0.1997 0.7243
O12 O 0.7749 0.9952 0.5625
O13 O 0.2251 0.4952 0.9375
O14 O 0.5468 0.6997 0.7757
P3 P 0.8746 0.4831 0.7838
O15 O 0.3279 0.0211 0.0792
Y2 Y 0.3983 0.1017 0.8983
P4 P 0.2838 0.6254 0.5169
O16 O 0.7243 0.4532 0.1997
O17 O 0.2243 0.0468 0.8003
O18 O 0.0792 0.3279 0.0211
O19 O 0.9952 0.5625 0.7749
O20 O 0.5792 0.1721 0.9789
O21 O 0.1506 0.2634 0.4018
O22 O 0.4789 0.9208 0.8279
Rb2 Rb 0.3177 0.6823 0.1823
O23 O 0.1721 0.9789 0.5792
O24 O 0.6506 0.2366 0.5982
O25 O 0.4208 0.6721 0.5211
O26 O 0.9789 0.5792 0.1721
P5 P 0.2162 0.3746 0.0169
O27 O 0.2749 0.5048 0.4375
O28 O 0.9532 0.3003 0.2757
Rb3 Rb 0.1823 0.3177 0.6823
O29 O 0.9375 0.2251 0.4952
P6 P 0.4831 0.7838 0.8746
O30 O 0.7251 0.0048 0.0625
O31 O 0.7757 0.5468 0.6997
O32 O 0.8279 0.4789 0.9208
P7 P 0.3746 0.0169 0.2162
O33 O 0.3003 0.2757 0.9532
P8 P 0.5169 0.2838 0.6254
P9 P 0.0169 0.2162 0.3746
Rb4 Rb 0.4510 0.9510 0.5490
O34 O 0.4375 0.2749 0.5048
Y3 Y 0.8344 0.1656 0.6656
O35 O 0.2634 0.4018 0.1506
Rb5 Rb 0.0490 0.0490 0.0490
O36 O 0.5211 0.4208 0.6721
O37 O 0.5982 0.6506 0.2366
P10 P 0.7162 0.1254 0.9831
O38 O 0.0211 0.0792 0.3279
O39 O 0.4018 0.1506 0.2634
O40 O 0.8003 0.2243 0.0468
O41 O 0.2366 0.5982 0.6506
Rb6 Rb 0.8177 0.8177 0.8177
P11 P 0.6254 0.5169 0.2838
O42 O 0.5048 0.4375 0.2749
Y4 Y 0.1017 0.8983 0.3983
O43 O 0.9018 0.3494 0.7366
O44 O 0.7634 0.0982 0.8494
Y5 Y 0.6656 0.8344 0.1656
Y6 Y 0.1656 0.6656 0.8344
O45 O 0.2757 0.9532 0.3003
O46 O 0.8494 0.7634 0.0982
P12 P 0.7838 0.8746 0.4831
O47 O 0.0468 0.8003 0.2243
Y7 Y 0.6017 0.6017 0.6017
Rb7 Rb 0.5490 0.4510 0.9510
Rb8 Rb 0.6823 0.1823 0.3177
O48 O 0.9208 0.8279 0.4789
Y8 Y 0.3344 0.3344 0.3344
```

Computed properties:
Space-group type ... No. 198
Crystal system ... cubic
Formation energy from raw total energies ... -2.936 eV per atom

***

No. 5
First-principles (meta-GGA SCAN) data for a crystal of ReP2RhO relaxed with PBEsol, as listed in Alexandria.

Cell and atoms, written as CIF:
```
data_ReP2RhO
_cell_length_a 3.6142
_cell_length_b 4.6612
_cell_length_c 4.6612
_cell_angle_alpha 90.00
_cell_angle_beta 90.00
_cell_angle_gamma 90.00
_space_group_name_H-M_alt 'P 1'
_space_group_IT_number 1
loop_
_space_group_symop_operation_xyz
'x,y,z'
loop_
_atom_site_label
_atom_site_type_symbol
_atom_site_fract_x
_atom_site_fract_y
_atom_site_fract_z
O1 O 0.5000 0.0000 0.0000
Rh1 Rh 0.5000 0.5000 0.5000
Re1 Re 0.0000 0.0000 0.0000
P1 P 0.0000 0.5000 0.0000
P2 P 0.0000 0.0000 0.5000
```

Computed properties:
Space-group type ... No. 123
Crystal system ... tetragonal
Formation energy from raw total energies ... 0.199 eV per atom

***

No. 6
First-principles (meta-GGA SCAN) data for a crystal of RePRuO2 relaxed with PBEsol, as listed in Alexandria.

Cell and atoms, written as CIF:
```
data_RePRuO2
_cell_length_a 3.6386
_cell_length_b 3.6386
_cell_length_c 5.3523
_cell_angle_alpha 90.00
_cell_angle_beta 90.00
_cell_angle_gamma 90.00
_space_group_name_H-M_alt 'P 1'
_space_group_IT_number 1
loop_
_space_group_symop_operation_xyz
'x,y,z'
loop_
_atom_site_label
_atom_site_type_symbol
_atom_site_fract_x
_atom_site_fract_y
_atom_site_fract_z
O1 O 0.5000 0.0000 0.0000
Ru1 Ru 0.0000 0.0000 0.0000
O2 O 0.0000 0.5000 0.0000
P1 P 0.0000 0.0000 0.5000
Re1 Re 0.5000 0.5000 0.5000
```

Computed properties:
Space-group type ... No. 123
Crystal system ... tetragonal
Formation energy from raw total energies ... 0.253 eV per atom

***

| no. | DFT total energy (eV/cell) | total magnetization (μB/atom) |
| --- | --- | --- |
| 1 | -758.68 | 0.0833 |
| 2 | -857.33 | 0.0000 |
| 3 | -200.69 | 0.0000 |
| 4 | -1035.64 | 0.0598 |
| 5 | -130.90 | 0.0000 |
| 6 | -127.52 | 0.7552 |